Density functional theory data (PBE-GGA) for Ba2GaAgH6 after structural relaxation.

a b c (Å): 5.5867 5.5867 9.5461
angles (deg): 90.00 90.00 90.00
Closest atoms and distances in Å follow each position.
Space group I4mm (No. 107)
One atom of each set of equivalent atoms:
Ba  0.0000  0.5000  0.0000 (multiplicity 4)  8 H 2.70-3.01
Ga  0.0000  0.0000  0.2962 (multiplicity 2)  1 H 1.72
Ag  0.0000  0.0000  0.7678 (multiplicity 2)  5 H 1.82-2.00
H  0.0000  0.0000  0.1161 (multiplicity 2)  1 Ga 1.72
H  0.0000  0.0000  0.5773 (multiplicity 2)  1 Ag 1.82
H  0.2487  0.2487  0.8066 (multiplicity 8)  1 Ga 1.99, 1 Ag 2.00

Values from the calculation:
**N(E_F)**: 2.56 states/eV per cell
**E_tot**: -3.1725 eV per atom